# LiZrTa3

An optimized crystal structure of LiZrTa3 (PBE, the Alexandria database).

Properties
The energy above the most stable polymorph in this dataset is 0.899 eV/atom. As for the formation energy: 1.90 eV/atom.

Lattice parameters (Å, degrees): 4.9646 4.9646 4.9646 90.00 90.00 90.00
With the nearest neighbours (Å) after each atom.
Space group Pm-3m (No. 221)
Unique sites:
Li1 0.0000 0.0000 0.0000 x1  12 Ta 3.51
Zr1 0.5000 0.5000 0.5000 x1  6 Ta 2.48
Ta1 0.0000 0.5000 0.5000 x3  2 Zr 2.48